Entry 1:
Li3PaS4: relaxed, PBE.

Results
Energy above the lowest structure with this stoichiometry, eV per formula unit: 1.40
Total magnetic moment, μB per formula unit: 0.00

Unit cell a=6.4501 b=6.4501 c=5.8472 alpha=123.47 beta=123.47 gamma=90.00
Last column: nearest neighbours and their distance in Å.
Positions (direct):
Li  0.7500  0.2500  0.5000  4 S 2.41
S  0.5969  0.1147  0.7116  3 Li 2.41-2.44, 1 Pa 2.59
Pa  0.0000  0.0000  0.0000  4 S 2.59
S  0.1147  0.5969  0.7116  3 Li 2.41-2.44, 1 Pa 2.59
Li  0.2500  0.7500  0.5000  4 S 2.41
Li  0.5000  0.5000  0.0000  4 S 2.44
S  0.8853  0.8853  0.2884  3 Li 2.41-2.44, 1 Pa 2.59
S  0.4031  0.4031  0.2884  3 Li 2.41-2.44, 1 Pa 2.59

Entry 2:
LiPa5S8: relaxed, PBE.

Results
Total magnetic moment, μB per formula unit: 0.01
Final energy, eV per atom: -7.481

Unit cell a=7.0960 b=7.0960 c=7.0960 alpha=110.31 beta=107.80 gamma=110.31
Last column: nearest neighbours and their distance in Å.
Positions (direct):
S  0.1203  0.7627  0.5245  5 Pa 2.73-2.88, 1 Li 3.04
S  0.7618  0.2373  0.3576  5 Pa 2.73-2.88, 1 Li 3.04
S  0.6424  0.4042  0.8797  5 Pa 2.73-2.88, 1 Li 3.04
S  0.4755  0.5958  0.2382  5 Pa 2.73-2.88, 1 Li 3.04
Pa  0.7635  0.6290  0.6319  8 S 2.77-2.95
Pa  0.3681  0.1316  0.9971  8 S 2.77-2.95
Pa  0.8655  0.8684  0.2365  8 S 2.77-2.95
S  0.2799  0.2534  0.3903  1 Li 2.67, 5 Pa 2.77-2.95
Pa  0.0029  0.3710  0.1345  8 S 2.77-2.95
Li  0.2500  0.5000  0.7500  4 S 2.67
S  0.9735  0.1105  0.7201  1 Li 2.67, 5 Pa 2.77-2.95
S  0.1370  0.7466  0.0265  1 Li 2.67, 5 Pa 2.77-2.95
Pa  0.5000  0.0000  0.5000  8 S 2.73-2.91
S  0.6097  0.8895  0.8630  1 Li 2.67, 5 Pa 2.77-2.95

Entry 3:
LiPa3S6: relaxed, PBE.

Results
Total magnetic moment, μB per formula unit: 3.09
Final energy, eV per atom: -7.096

Unit cell a=6.5788 b=8.3447 c=8.3447 alpha=100.88 beta=90.00 gamma=90.00
Last column: nearest neighbours and their distance in Å.
Positions (direct):
S  0.7082  0.9039  0.4423  1 Li 2.46, 1 Pa 2.74
Li  0.0110  0.1918  0.8082  4 S 2.46-2.51
S  0.6457  0.2319  0.7681  1 Li 2.46, 2 Pa 2.73
Pa  0.9822  0.7258  0.9257  7 S 2.73-2.84
S  0.1811  0.3722  0.2999  4 Pa 2.75-2.81
S  0.6811  0.2999  0.3722  4 Pa 2.75-2.81
S  0.2082  0.4423  0.9039  1 Li 2.46, 1 Pa 2.74
S  0.1457  0.7681  0.2319  1 Li 2.46, 2 Pa 2.73
Pa  0.4822  0.9257  0.7258  7 S 2.73-2.84
S  0.2082  0.0961  0.5577  1 Li 2.46, 1 Pa 2.74
S  0.7082  0.5577  0.0961  1 Li 2.46, 1 Pa 2.74
Pa  0.3822  0.3989  0.6011  7 S 2.74-2.81
Pa  0.8822  0.6011  0.3989  7 S 2.74-2.81
S  0.2033  0.0232  0.9768  1 Li 2.51, 2 Pa 2.79
S  0.7033  0.9768  0.0232  1 Li 2.51, 2 Pa 2.79
Pa  0.4822  0.2742  0.0743  7 S 2.73-2.84
S  0.6811  0.6278  0.7001  4 Pa 2.75-2.81
Li  0.5110  0.8082  0.1918  4 S 2.46-2.51
Pa  0.9822  0.0743  0.2742  7 S 2.73-2.84
S  0.1811  0.7001  0.6278  4 Pa 2.75-2.81

Entry 4:
Li5PaS5: relaxed, PBE.

Results
Total magnetic moment, μB per formula unit: 0.00
Final energy, eV per atom: -5.029

Unit cell a=5.3049 b=6.6463 c=7.4167 alpha=108.26 beta=90.00 gamma=113.52
Last column: nearest neighbours and their distance in Å.
Positions (direct):
Pa  0.0000  0.0000  0.0000  6 S 2.61-2.65
Li  0.3091  0.6183  0.1331  4 S 2.47-2.70
S  0.1509  0.3017  0.8183  5 Li 2.44-2.70, 1 Pa 2.63
Li  0.6957  0.3915  0.3243  4 S 2.44-2.67
Li  0.3043  0.6085  0.6757  4 S 2.44-2.67
S  0.8306  0.6613  0.6704  5 Li 2.53-2.76, 1 Pa 2.61
S  0.5000  0.0000  0.0000  2 Pa 2.65, 4 Li 2.75-2.82
S  0.8492  0.6983  0.1817  5 Li 2.44-2.70, 1 Pa 2.63
Li  0.6909  0.3817  0.8669  4 S 2.47-2.70
S  0.1694  0.3387  0.3296  5 Li 2.53-2.76, 1 Pa 2.61
Li  0.0000  0.0000  0.5000  2 S 2.45

Entry 5:
Li4Pa3S8: relaxed, PBE.

Results
Energy above the lowest structure with this stoichiometry, eV per formula unit: 0.00
Total magnetic moment, μB per formula unit: 3.01

Unit cell a=7.9013 b=7.9013 c=7.9823 alpha=60.34 beta=60.34 gamma=60.00
Last column: nearest neighbours and their distance in Å.
Positions (direct):
S  0.7616  0.2542  0.7300  3 Li 2.58-2.86, 2 Pa 2.72
S  0.7458  0.7458  0.2700  3 Li 2.58-2.86, 2 Pa 2.72
S  0.7458  0.2384  0.2700  3 Li 2.58-2.86, 2 Pa 2.72
Li  0.3648  0.3648  0.9056  4 S 2.40-2.58, 1 Li 2.66
Pa  0.0000  0.0000  0.5000  6 S 2.72
Pa  0.5000  0.0000  0.5000  6 S 2.72
S  0.2425  0.2425  0.2725  1 Li 2.40
S  0.2542  0.7616  0.7300  3 Li 2.58-2.86, 2 Pa 2.72
Li  0.5000  0.5000  0.5000  2 Li 2.66, 6 S 2.76
Li  0.0000  0.0000  0.0000  6 S 2.86
S  0.2542  0.2542  0.7300  3 Li 2.58-2.86, 2 Pa 2.72
Li  0.6352  0.6352  0.0944  4 S 2.40-2.58, 1 Li 2.66
S  0.2384  0.7458  0.2700  3 Li 2.58-2.86, 2 Pa 2.72
Pa  0.0000  0.5000  0.5000  6 S 2.72
S  0.7575  0.7575  0.7275  1 Li 2.40

Entry 6:
LiPa2S4: relaxed, PBE.

Results
Energy above the lowest structure with this stoichiometry, eV per formula unit: 0.44
Total magnetic moment, μB per formula unit: 3.02

Unit cell a=7.9640 b=7.9640 c=7.9719 alpha=59.96 beta=59.96 gamma=89.90
Last column: nearest neighbours and their distance in Å.
Positions (direct):
S  0.2554  0.2446  0.9885  1 Li 2.55, 3 Pa 2.75
S  0.2554  0.2446  0.5115  1 Li 2.55, 3 Pa 2.75
Li  0.1252  0.3748  0.2500  4 S 2.55
Pa  0.0000  0.0000  0.0000  6 S 2.75
S  0.2562  0.7669  0.9885  1 Li 2.55, 3 Pa 2.75
Pa  0.5000  0.5000  0.5000  6 S 2.75
S  0.7446  0.7554  0.4885  1 Li 2.55, 3 Pa 2.75
Pa  0.5000  0.0000  0.5000  6 S 2.75
S  0.2669  0.7562  0.4885  1 Li 2.55, 3 Pa 2.75
S  0.7331  0.2438  0.5115  1 Li 2.55, 3 Pa 2.75
S  0.7446  0.7554  0.0115  1 Li 2.55, 3 Pa 2.75
S  0.7438  0.2331  0.0115  1 Li 2.55, 3 Pa 2.75
Pa  0.5000  0.0000  0.0000  6 S 2.75
Li  0.8748  0.6252  0.7500  4 S 2.55

Entry 7:
LiPa3S4: relaxed, PBE.

Results
Total magnetic moment, μB per formula unit: 0.00
Final energy, eV per atom: -7.414

Unit cell a=6.5765 b=6.7949 c=7.6833 alpha=90.00 beta=90.00 gamma=109.22
Last column: nearest neighbours and their distance in Å.
Positions (direct):
S  0.5100  0.7613  0.6361  1 Li 2.67, 5 Pa 2.72-2.83
Li  0.7500  0.0000  0.8853  6 S 2.61-2.67
Pa  0.7500  0.0000  0.3760  6 S 2.72-2.73
Pa  0.7500  0.5000  0.1256  6 S 2.73-2.79
Pa  0.2500  0.5000  0.3783  6 S 2.74-2.83
S  0.0000  0.2378  0.1193  2 Li 2.61-2.66, 4 Pa 2.73-2.81
Pa  0.7500  0.5000  0.6217  6 S 2.74-2.83
Li  0.2500  0.0000  0.1147  6 S 2.61-2.67
S  0.0100  0.7613  0.3639  1 Li 2.67, 5 Pa 2.72-2.83
S  0.0000  0.7622  0.8807  2 Li 2.61-2.66, 4 Pa 2.73-2.81
Pa  0.2500  0.5000  0.8744  6 S 2.73-2.79
S  0.5000  0.7622  0.1193  2 Li 2.61-2.66, 4 Pa 2.73-2.81
S  0.5000  0.2378  0.8807  2 Li 2.61-2.66, 4 Pa 2.73-2.81
S  0.4900  0.2387  0.3639  1 Li 2.67, 5 Pa 2.72-2.83
Pa  0.2500  0.0000  0.6240  6 S 2.72-2.73
S  0.9900  0.2387  0.6361  1 Li 2.67, 5 Pa 2.72-2.83

Entry 8:
Li2PaS6: relaxed, PBE.

Results
Total magnetic moment, μB per formula unit: 0.00
Final energy, eV per atom: -4.990

Unit cell a=4.0131 b=6.3332 c=8.6197 alpha=74.46 beta=76.54 gamma=71.53
Last column: nearest neighbours and their distance in Å.
Positions (direct):
S  0.6806  0.5966  0.0422  4 S 2.49-2.60, 3 Li 2.52-2.76
Li  0.1611  0.8277  0.8500  6 S 2.52-2.76
S  0.6562  0.2500  0.4375  1 Li 2.55, 2 Pa 2.62
Pa  0.0000  0.5000  0.5000  6 S 2.62-2.72
S  0.3438  0.7500  0.5625  1 Li 2.55, 2 Pa 2.62
Li  0.8389  0.1723  0.1500  6 S 2.52-2.76
S  0.0345  0.7441  0.1869  2 Li 2.53-2.76, 2 S 2.60, 1 Pa 2.72
S  0.9655  0.2559  0.8131  2 Li 2.53-2.76, 2 S 2.60, 1 Pa 2.72
S  0.3194  0.4034  0.9578  4 S 2.49-2.60, 3 Li 2.52-2.76